Entry 1:
Material: DyIn5Cl8
Method: DFT, GGA-PBE
State: optimized geometry Values from VASP.

```
&SYSTEM
  ibrav = 0, nat = 14, ntyp = 3
/
ATOMIC_SPECIES
Dy 162.50 Dy.upf
In 114.82 In.upf
Cl 35.45 Cl.upf
CELL_PARAMETERS angstrom
-4.601 4.601 4.905
4.601 -4.601 4.905
4.601 4.601 -4.905
ATOMIC_POSITIONS angstrom
Dy 0.000 0.000 0.000
In 2.495 3.618 -1.243
In 5.584 2.495 1.243
In 2.106 0.983 3.662
In 0.000 4.601 2.453
In -0.983 2.106 6.149
Cl 6.653 -0.668 0.787
Cl 5.153 3.026 -2.541
Cl 2.549 0.668 0.787
Cl 3.932 -2.052 4.118
Cl -0.552 1.575 2.364
Cl 5.269 2.052 4.118
Cl 3.026 4.049 2.541
Cl 1.575 0.552 7.446
```

Computed properties:
* SG: I-4, No. 82
* spin magnetization: 0.0 μB per cell
* Fermi-level density of states: 0.000 states/eV/f.u.
* formation energy without anion corrections: -1.213 eV per atom

---

Entry 2:
Material: DyIn3Cl6
Method: DFT, GGA-PBE
State: optimized geometry Values from VASP.

```
&SYSTEM
  ibrav = 0, nat = 20, ntyp = 3
/
ATOMIC_SPECIES
Dy 162.50 Dy.upf
In 114.82 In.upf
Cl 35.45 Cl.upf
CELL_PARAMETERS angstrom
7.306 0.000 0.000
0.000 8.368 0.000
-6.659 0.000 10.820
ATOMIC_POSITIONS angstrom
Dy 0.000 0.000 0.000
Dy -3.330 4.184 5.410
In -2.964 0.610 8.369
In 0.365 3.574 2.959
In 0.323 0.000 5.410
In 3.653 4.184 0.000
In 0.281 4.794 7.860
In 3.611 7.759 2.451
Cl -0.807 0.593 2.462
Cl -4.136 3.591 7.872
Cl 1.225 6.192 0.902
Cl -2.104 6.361 6.312
Cl 2.269 1.340 0.363
Cl -1.061 2.844 5.773
Cl 1.707 5.524 5.047
Cl -1.622 7.029 10.457
Cl 2.751 2.008 4.508
Cl -0.579 2.176 9.918
Cl 4.783 4.777 2.947
Cl 1.454 7.775 8.357
```

Computed properties:
* SG: P2_1/c, No. 14
* spin magnetization: 0.0 μB per cell
* Fermi-level density of states: 0.000 states/eV/f.u.
* formation energy without anion corrections: -1.422 eV per atom

---

Entry 3:
Material: DyIn4Cl6
Method: DFT, GGA-PBE
State: optimized geometry Values from VASP.

```
&SYSTEM
  ibrav = 0, nat = 22, ntyp = 3
/
ATOMIC_SPECIES
Dy 162.50 Dy.upf
In 114.82 In.upf
Cl 35.45 Cl.upf
CELL_PARAMETERS angstrom
8.384 0.000 0.000
0.000 8.384 0.000
0.000 0.000 10.786
ATOMIC_POSITIONS angstrom
Dy 0.000 0.000 0.000
Dy 4.192 4.192 5.393
In 1.272 2.920 2.696
In 1.272 2.920 8.089
In 2.920 7.112 2.696
In 2.920 7.112 8.089
In 5.464 1.272 2.696
In 5.464 1.272 8.089
In 7.112 5.464 2.696
In 7.112 5.464 8.089
Cl 0.000 0.000 2.670
Cl 0.000 0.000 8.116
Cl 1.542 6.231 0.000
Cl 2.039 5.734 5.393
Cl 2.153 1.542 0.000
Cl 2.650 2.039 5.393
Cl 4.192 4.192 2.723
Cl 4.192 4.192 8.062
Cl 5.734 6.345 5.393
Cl 6.231 6.842 0.000
Cl 6.345 2.650 5.393
Cl 6.842 2.153 0.000
```

Computed properties:
* SG: P4/mnc, No. 128
* spin magnetization: 0.0 μB per cell
* Fermi-level density of states: 2.847 states/eV/f.u.
* formation energy without anion corrections: -1.164 eV per atom

---

Entry 4:
Material: Dy2InCl
Method: DFT, GGA-PBE
State: optimized geometry Values from VASP.

```
&SYSTEM
  ibrav = 0, nat = 4, ntyp = 3
/
ATOMIC_SPECIES
Dy 162.50 Dy.upf
In 114.82 In.upf
Cl 35.45 Cl.upf
CELL_PARAMETERS angstrom
1.727 0.997 10.727
-1.727 0.997 10.727
0.000 -1.994 10.727
ATOMIC_POSITIONS angstrom
Dy 0.000 0.000 3.151
Dy 0.000 0.000 29.030
In 0.000 0.000 0.000
Cl 0.000 0.000 16.090
```

Computed properties:
* SG: R-3m, No. 166
* spin magnetization: 0.0 μB per cell
* Fermi-level density of states: 3.073 states/eV/f.u.
* formation energy without anion corrections: -0.500 eV per atom

---

Entry 5:
Material: Dy2In5Cl12
Method: DFT, GGA-PBE
State: optimized geometry Values from VASP.

```
&SYSTEM
  ibrav = 0, nat = 19, ntyp = 3
/
ATOMIC_SPECIES
Dy 162.50 Dy.upf
In 114.82 In.upf
Cl 35.45 Cl.upf
CELL_PARAMETERS angstrom
7.930 -4.845 0.000
7.930 4.845 0.000
-4.043 0.000 7.132
ATOMIC_POSITIONS angstrom
Dy 7.930 2.473 0.000
Dy 7.930 -2.473 0.000
In -2.021 0.000 3.566
In 4.151 0.000 0.372
In 3.085 0.000 3.476
In 8.732 0.000 3.656
In 7.666 0.000 6.760
Cl 5.545 2.955 1.204
Cl 0.570 0.000 1.500
Cl 2.026 1.782 5.236
Cl 6.272 2.955 5.929
Cl 6.967 0.000 1.313
Cl 2.026 -1.782 5.236
Cl 9.790 1.782 1.896
Cl 4.850 0.000 5.819
Cl 5.545 -2.955 1.204
Cl 9.790 -1.782 1.896
Cl 11.247 0.000 5.632
Cl 6.272 -2.955 5.929
```

Computed properties:
* SG: C2/m, No. 12
* spin magnetization: 0.0 μB per cell
* Fermi-level density of states: 8.476 states/eV/f.u.
* formation energy without anion corrections: -1.388 eV per atom

---

Entry 6:
Material: DyInCl4
Method: DFT, GGA-PBE
State: optimized geometry Values from VASP.

```
&SYSTEM
  ibrav = 0, nat = 12, ntyp = 3
/
ATOMIC_SPECIES
Dy 162.50 Dy.upf
In 114.82 In.upf
Cl 35.45 Cl.upf
CELL_PARAMETERS angstrom
8.182 -3.328 0.000
8.182 3.328 0.000
-1.768 0.000 7.163
ATOMIC_POSITIONS angstrom
Dy 4.091 1.664 0.000
Dy 3.207 -1.664 3.581
In 6.857 1.720 5.372
In 7.740 -1.720 1.791
Cl -0.058 0.639 6.868
Cl 0.826 -0.639 3.287
Cl 4.431 0.368 2.327
Cl 3.547 -0.368 5.908
Cl 11.050 0.368 1.255
Cl 10.166 -0.368 4.836
Cl 13.771 0.639 3.876
Cl 14.655 -0.639 0.294
```

Computed properties:
* SG: C2/c, No. 15
* spin magnetization: 0.0 μB per cell
* Fermi-level density of states: 0.000 states/eV/f.u.
* formation energy without anion corrections: -1.795 eV per atom

---

What did the second record say?
Material: DyIn3Cl6
Method: DFT, GGA-PBE
State: optimized geometry Values from VASP.

```
&SYSTEM
  ibrav = 0, nat = 20, ntyp = 3
/
ATOMIC_SPECIES
Dy 162.50 Dy.upf
In 114.82 In.upf
Cl 35.45 Cl.upf
CELL_PARAMETERS angstrom
7.306 0.000 0.000
0.000 8.368 0.000
-6.659 0.000 10.820
ATOMIC_POSITIONS angstrom
Dy 0.000 0.000 0.000
Dy -3.330 4.184 5.410
In -2.964 0.610 8.369
In 0.365 3.574 2.959
In 0.323 0.000 5.410
In 3.653 4.184 0.000
In 0.281 4.794 7.860
In 3.611 7.759 2.451
Cl -0.807 0.593 2.462
Cl -4.136 3.591 7.872
Cl 1.225 6.192 0.902
Cl -2.104 6.361 6.312
Cl 2.269 1.340 0.363
Cl -1.061 2.844 5.773
Cl 1.707 5.524 5.047
Cl -1.622 7.029 10.457
Cl 2.751 2.008 4.508
Cl -0.579 2.176 9.918
Cl 4.783 4.777 2.947
Cl 1.454 7.775 8.357
```

Computed properties:
* SG: P2_1/c, No. 14
* spin magnetization: 0.0 μB per cell
* Fermi-level density of states: 0.000 states/eV/f.u.
* formation energy without anion corrections: -1.422 eV per atom

---

What did the first record say?
Material: DyIn5Cl8
Method: DFT, GGA-PBE
State: optimized geometry Values from VASP.

```
&SYSTEM
  ibrav = 0, nat = 14, ntyp = 3
/
ATOMIC_SPECIES
Dy 162.50 Dy.upf
In 114.82 In.upf
Cl 35.45 Cl.upf
CELL_PARAMETERS angstrom
-4.601 4.601 4.905
4.601 -4.601 4.905
4.601 4.601 -4.905
ATOMIC_POSITIONS angstrom
Dy 0.000 0.000 0.000
In 2.495 3.618 -1.243
In 5.584 2.495 1.243
In 2.106 0.983 3.662
In 0.000 4.601 2.453
In -0.983 2.106 6.149
Cl 6.653 -0.668 0.787
Cl 5.153 3.026 -2.541
Cl 2.549 0.668 0.787
Cl 3.932 -2.052 4.118
Cl -0.552 1.575 2.364
Cl 5.269 2.052 4.118
Cl 3.026 4.049 2.541
Cl 1.575 0.552 7.446
```

Computed properties:
* SG: I-4, No. 82
* spin magnetization: 0.0 μB per cell
* Fermi-level density of states: 0.000 states/eV/f.u.
* formation energy without anion corrections: -1.213 eV per atom